(1)
The following is a PBEsol calculation of crystalline ZrCr3Bi at its relaxed geometry, from Alexandria.

Unit cell a=4.9410 b=4.9410 c=4.9410 alpha=90.00 beta=90.00 gamma=90.00
Fractional positions:
Zr1 0.0000 0.0000 0.0000
Cr1 0.0000 0.5000 0.5000
Cr2 0.5000 0.0000 0.5000
Cr3 0.5000 0.5000 0.0000
Bi1 0.5000 0.5000 0.5000

* DOS(E_F): 9.0 states/eV/cell
* E: -7.028 eV/atom
* volume: 121 Å³/f.u.
* energy of formation from the pure elements: 173.0 kJ per mole of atoms



(2)
The following is a PBEsol calculation of crystalline Cs3Bi at its relaxed geometry, from Alexandria.

Unit cell a=6.4943 b=6.4943 c=6.4943 alpha=60.00 beta=60.00 gamma=60.00
Fractional positions:
Cs1 0.0000 0.0000 0.0000
Cs2 0.2500 0.2500 0.2500
Cs3 0.7500 0.7500 0.7500
Bi1 0.5000 0.5000 0.5000

* E: -2.143 eV/atom
* volume: 194 Å³/f.u.
* energy of formation from the pure elements: -35.2 kJ per mole of atoms